A plane-wave DFT calculation with GGA-PBE was carried out for an optimized crystal structure of MgCd3Te4.

```
MgCd3Te4
1.0
6.587 0.000 0.000
0.000 6.587 0.000
0.000 0.000 6.587
Cd Te Mg
3 4 1
Direct
0.000 0.500 0.500 Cd
0.500 0.500 0.000 Cd
0.500 0.000 0.500 Cd
0.247 0.247 0.247 Te
0.753 0.247 0.753 Te
0.753 0.753 0.247 Te
0.247 0.753 0.753 Te
0.000 0.000 0.000 Mg
```

Symmetry: P-43m
VASP energy (eV per atom): -2.677
Uncorrected formation energy (eV per atom): -0.564

***

A plane-wave DFT calculation with GGA-PBE was carried out for an optimized crystal structure of MgCdTe2.

```
MgCdTe2
1.0
9.399 0.853 0.000
7.154 6.156 0.000
-8.277 -3.504 2.879
Mg Te Cd
1 2 1
Direct
0.750 0.250 0.500 Mg
0.250 0.750 0.500 Te
0.000 0.000 0.000 Te
0.500 0.500 0.000 Cd
```

Symmetry: I-4m2
VASP energy (eV per atom): -2.457
Uncorrected formation energy (eV per atom): -0.259

***

A plane-wave DFT calculation with GGA-PBE was carried out for an optimized crystal structure of MgCdTe2.

```
MgCdTe2
1.0
-4.626 -0.601 0.471
1.303 -6.797 4.206
-0.731 8.601 3.618
Te Cd Mg
4 2 2
Direct
0.915 0.303 0.385 Te
0.914 0.300 0.877 Te
0.413 0.793 0.878 Te
0.416 0.808 0.390 Te
0.916 0.554 0.264 Cd
0.415 0.054 0.258 Cd
0.414 0.545 0.007 Mg
0.913 0.553 0.756 Mg
```

Symmetry: P1
VASP energy (eV per atom): -2.813
Uncorrected formation energy (eV per atom): -0.615

***

A plane-wave DFT calculation with GGA-PBE was carried out for an optimized crystal structure of Mg2Cd2Te.

```
Mg2Cd2Te
1.0
-5.343 5.752 -2.526
-6.258 -4.582 2.803
0.248 1.681 3.302
Mg Cd Te
4 4 2
Direct
0.175 0.325 0.000 Mg
0.675 0.175 0.000 Mg
0.825 0.675 0.000 Mg
0.325 0.825 0.000 Mg
0.873 0.373 0.500 Cd
0.627 0.873 0.500 Cd
0.373 0.127 0.500 Cd
0.127 0.627 0.500 Cd
0.500 0.500 0.000 Te
0.000 0.000 0.000 Te
```

Distance to the lowest polymorph of the same formula (meV per atom): 0.0
Symmetry: P4/mbm
VASP energy (eV per atom): -1.682
Uncorrected formation energy (eV per atom): -0.050

***

A plane-wave DFT calculation with GGA-PBE was carried out for an optimized crystal structure of MgCdTe2.

```
MgCdTe2
1.0
-1.331 7.986 -0.698
-4.013 -0.668 0.009
-0.177 1.269 14.855
Cd Te Mg
4 8 4
Direct
0.416 0.750 0.077 Cd
0.584 0.250 0.923 Cd
0.084 0.250 0.577 Cd
0.916 0.750 0.423 Cd
0.985 0.250 0.756 Te
0.273 0.750 0.488 Te
0.773 0.750 0.012 Te
0.485 0.250 0.744 Te
0.727 0.250 0.512 Te
0.515 0.750 0.256 Te
0.227 0.250 0.988 Te
0.015 0.750 0.244 Te
0.774 0.250 0.178 Mg
0.226 0.750 0.822 Mg
0.274 0.250 0.322 Mg
0.726 0.750 0.678 Mg
```

Symmetry: Pnma
VASP energy (eV per atom): -2.621
Uncorrected formation energy (eV per atom): -0.422

***

A plane-wave DFT calculation with GGA-PBE was carried out for an optimized crystal structure of MgCd3Te4.

```
MgCd3Te4
1.0
-2.758 5.934 -0.769
-3.664 -2.345 -4.949
-1.515 -3.437 7.137
Te Cd Mg
4 3 1
Direct
0.370 0.370 0.247 Te
0.877 0.877 0.247 Te
0.630 0.123 0.753 Te
0.123 0.630 0.753 Te
0.500 0.500 0.000 Cd
0.250 0.750 0.500 Cd
0.750 0.250 0.500 Cd
0.000 0.000 0.000 Mg
```

Symmetry: I-42m
VASP energy (eV per atom): -2.677
Uncorrected formation energy (eV per atom): -0.564

***

A plane-wave DFT calculation with GGA-PBE was carried out for an optimized crystal structure of MgCdTe4.

```
MgCdTe4
1.0
0.000 4.541 4.541
4.541 0.000 4.541
4.541 4.541 0.000
Te Cd Mg
4 1 1
Direct
0.375 0.875 0.375 Te
0.375 0.375 0.375 Te
0.875 0.375 0.375 Te
0.375 0.375 0.875 Te
0.750 0.750 0.750 Cd
0.000 0.000 0.000 Mg
```

Symmetry: F-43m
VASP energy (eV per atom): -2.245
Uncorrected formation energy (eV per atom): 0.268

***

A plane-wave DFT calculation with GGA-PBE was carried out for an optimized crystal structure of MgCdTe2.

```
MgCdTe2
1.0
4.179 0.000 0.000
0.000 7.632 0.000
0.000 0.000 4.031
Cd Te Mg
1 2 1
Direct
0.500 0.000 0.500 Cd
0.000 0.000 0.000 Te
0.500 0.500 0.000 Te
0.000 0.500 0.500 Mg
```

Symmetry: Pmmm
VASP energy (eV per atom): -2.459
Uncorrected formation energy (eV per atom): -0.261

***

A plane-wave DFT calculation with GGA-PBE was carried out for an optimized crystal structure of MgCdTe2.

```
MgCdTe2
1.0
7.504 -0.017 -0.030
6.470 3.802 -0.030
0.016 0.004 4.143
Te Cd Mg
2 1 1
Direct
0.724 0.724 0.625 Te
0.957 0.957 0.125 Te
0.529 0.529 0.625 Cd
0.289 0.289 0.125 Mg
```

Symmetry: Amm2
VASP energy (eV per atom): -2.641
Uncorrected formation energy (eV per atom): -0.443

***

A plane-wave DFT calculation with GGA-PBE was carried out for an optimized crystal structure of MgCdTe2.

```
MgCdTe2
1.0
-1.227 -2.237 7.003
-7.848 -2.754 -2.254
2.641 -6.267 -1.539
Mg Te Cd
4 8 4
Direct
0.250 0.375 0.437 Mg
0.250 0.875 0.937 Mg
0.750 0.625 0.937 Mg
0.750 0.125 0.437 Mg
0.916 0.878 0.693 Te
0.084 0.622 0.182 Te
0.916 0.378 0.682 Te
0.084 0.122 0.193 Te
0.416 0.622 0.693 Te
0.584 0.378 0.193 Te
0.416 0.122 0.682 Te
0.584 0.878 0.182 Te
0.750 0.633 0.437 Cd
0.250 0.867 0.437 Cd
0.750 0.133 0.937 Cd
0.250 0.367 0.937 Cd
```

Symmetry: Pbcn
VASP energy (eV per atom): -2.732
Uncorrected formation energy (eV per atom): -0.534

***

A plane-wave DFT calculation with GGA-PBE was carried out for an optimized crystal structure of MgCdTe2.

```
MgCdTe2
1.0
4.279 0.000 0.000
0.000 4.279 0.000
0.000 0.000 6.076
Te Mg Cd
2 1 1
Direct
0.000 0.000 0.000 Te
0.500 0.500 0.500 Te
0.000 0.000 0.500 Mg
0.500 0.500 0.000 Cd
```

Symmetry: P4/mmm
VASP energy (eV per atom): -2.735
Uncorrected formation energy (eV per atom): -0.537

***

A plane-wave DFT calculation with GGA-PBE was carried out for an optimized crystal structure of MgCdTe2.

```
MgCdTe2
1.0
-3.167 -1.932 3.838
1.933 -3.480 3.556
0.734 1.495 5.071
Mg Cd Te
1 1 2
Direct
0.750 0.750 0.750 Mg
0.500 0.500 0.500 Cd
0.250 0.250 0.250 Te
0.000 0.000 0.000 Te
```

Symmetry: F-43m
VASP energy (eV per atom): -2.163
Uncorrected formation energy (eV per atom): 0.035

***

A plane-wave DFT calculation with GGA-PBE was carried out for an optimized crystal structure of Mg3CdTe.

```
Mg3CdTe
1.0
-3.769 3.895 0.987
-0.005 -1.358 5.339
4.018 3.652 0.932
Mg Te Cd
3 1 1
Direct
0.000 0.000 0.500 Mg
0.000 0.500 0.000 Mg
0.500 0.000 0.000 Mg
0.000 0.000 0.000 Te
0.500 0.500 0.500 Cd
```

Symmetry: Pm-3m
VASP energy (eV per atom): -1.461
Uncorrected formation energy (eV per atom): 0.307

***

A plane-wave DFT calculation with GGA-PBE was carried out for an optimized crystal structure of MgCdTe2.

```
MgCdTe2
1.0
3.830 0.000 0.000
0.000 3.830 0.000
0.000 0.000 7.178
Te Cd Mg
2 1 1
Direct
0.000 0.000 0.517 Te
0.000 0.000 0.983 Te
0.500 0.500 0.250 Cd
0.500 0.500 0.750 Mg
```

Symmetry: P4/mmm
VASP energy (eV per atom): -2.360
Uncorrected formation energy (eV per atom): -0.162

***

A plane-wave DFT calculation with GGA-PBE was carried out for an optimized crystal structure of MgCd2Te.

```
MgCd2Te
1.0
4.100 0.000 0.000
0.000 4.101 0.000
0.000 0.000 5.980
Te Mg Cd
1 1 2
Direct
0.500 0.500 0.750 Te
0.500 0.500 0.250 Mg
0.000 0.000 0.491 Cd
0.000 0.000 0.009 Cd
```

Distance to the lowest polymorph of the same formula (meV per atom): 139.9
Symmetry: P4/mmm
VASP energy (eV per atom): -1.710
Uncorrected formation energy (eV per atom): -0.068

***

A plane-wave DFT calculation with GGA-PBE was carried out for an optimized crystal structure of MgCdTe2.

```
MgCdTe2
1.0
-0.446 -5.255 -0.578
-4.148 -2.557 2.098
-3.753 -2.011 -3.164
Mg Te Cd
1 2 1
Direct
0.000 0.000 0.000 Mg
0.250 0.250 0.250 Te
0.750 0.750 0.750 Te
0.500 0.500 0.500 Cd
```

Symmetry: Fm-3m
VASP energy (eV per atom): -2.322
Uncorrected formation energy (eV per atom): -0.124

***

A plane-wave DFT calculation with GGA-PBE was carried out for an optimized crystal structure of MgCdTe2.

```
MgCdTe2
1.0
0.260 3.006 -11.428
-0.340 0.384 11.808
5.806 0.118 0.163
Te Mg Cd
4 2 2
Direct
0.199 0.801 0.250 Te
0.801 0.199 0.750 Te
0.074 0.926 0.750 Te
0.926 0.074 0.250 Te
0.680 0.320 0.750 Mg
0.320 0.680 0.250 Mg
0.063 0.937 0.250 Cd
0.937 0.063 0.750 Cd
```

Symmetry: Cmcm
VASP energy (eV per atom): -2.439
Uncorrected formation energy (eV per atom): -0.241

***

A plane-wave DFT calculation with GGA-PBE was carried out for an optimized crystal structure of Mg2CdTe2.

```
Mg2CdTe2
1.0
4.744 0.000 0.000
0.000 4.744 0.000
2.372 2.372 7.878
Te Mg Cd
2 2 1
Direct
0.649 0.649 0.702 Te
0.351 0.351 0.298 Te
0.250 0.750 0.500 Mg
0.750 0.250 0.500 Mg
0.000 0.000 0.000 Cd
```

Distance to the lowest polymorph of the same formula (meV per atom): 0.0
Symmetry: I4/mmm
VASP energy (eV per atom): -2.590
Uncorrected formation energy (eV per atom): -0.513

***

A plane-wave DFT calculation with GGA-PBE was carried out for an optimized crystal structure of MgCdTe2.

```
MgCdTe2
1.0
3.272 0.000 0.000
0.000 3.272 0.000
0.000 0.000 10.433
Te Mg Cd
2 1 1
Direct
0.500 0.500 0.291 Te
0.000 0.000 0.935 Te
0.500 0.500 0.739 Mg
0.000 0.000 0.535 Cd
```

Symmetry: P4mm
VASP energy (eV per atom): -2.271
Uncorrected formation energy (eV per atom): -0.072

***

A plane-wave DFT calculation with GGA-PBE was carried out for an optimized crystal structure of Mg2Cd2Te.

```
Mg2Cd2Te
1.0
-1.855 1.183 -3.806
3.157 -2.125 -2.199
-3.037 -6.024 -2.931
Te Mg Cd
1 2 2
Direct
0.000 0.000 0.000 Te
0.250 0.750 0.500 Mg
0.750 0.250 0.500 Mg
0.396 0.396 0.208 Cd
0.604 0.604 0.792 Cd
```

Distance to the lowest polymorph of the same formula (meV per atom): 63.7
Symmetry: I4/mmm
VASP energy (eV per atom): -1.619
Uncorrected formation energy (eV per atom): 0.013